First-principles (PBE) data for an optimized crystal structure of ReSiOs2, as listed in Alexandria via LeMat-Bulk.

## Properties
Total energy   -10.1509 eV per atom
Formation energy from raw total energies   -0.07 eV/atom

Cell: 2.866 4.396 8.808 Å, 90.00 90.00 90.00°
Space group Immm (No. 71)
Asymmetric unit:
1 Re 0.000 0.000 0.000 x2
2 Si 0.000 0.000 0.500 x2
3 Os 0.000 0.500 0.221 x4